Density functional theory data (GGA-PBE) for a relaxed structure of Cs2AsSe.

Output
- Excess energy over the best structure of this formula in the dataset: 0.287 eV per atom
- Formation energy without anion corrections: -380 meV per atom

abc: 9.445 9.445 9.445
angles: 94.57 94.57 147.20
Fractional coordinates of all 8 atoms:
1 Cs 0.205 0.375 0.330
2 Cs 0.625 0.955 0.830
3 Cs 0.125 0.795 0.170
4 Cs 0.045 0.875 0.670
5 Se 0.250 0.750 0.500
6 Se 0.000 0.000 0.000
7 As 0.750 0.250 0.500
8 As 0.500 0.500 0.000

Density functional theory data (GGA-PBE) for a relaxed structure of Mn2TlCu.

Output
- Energy relative to the elements: 392 meV per atom

abc: 4.855 4.855 4.855
angles: 131.59 131.40 71.03
Each line ends with the local moment (μB).
Fractional coordinates of all 4 atoms:
1 Tl 0.750 0.250 0.500  -0.11
2 Mn 0.500 0.500 0.000  3.29
3 Mn 0.000 0.000 0.000  3.29
4 Cu 0.250 0.750 0.500  0.07

Density functional theory data (GGA-PBE) for a relaxed structure of Tm2SeN.

Output
- Excess energy over the best structure of this formula in the dataset: 0.266 eV per atom
- Formation energy without anion corrections: -1458 meV per atom

abc: 3.835 5.553 8.612
angles: 90.00 89.99 90.00
Each line ends with the local moment (μB).
Fractional coordinates of all 8 atoms:
1 N 0.201 0.873 0.211  -0.01
2 N 0.701 0.373 0.005  -0.01
3 Tm 0.701 0.663 0.187  0.07
4 Tm 0.701 0.515 0.769  0.09
5 Tm 0.201 0.163 0.029  0.07
6 Tm 0.201 0.015 0.447  0.09
7 Se 0.201 0.882 0.764  0.00
8 Se 0.701 0.382 0.452  0.00

Density functional theory data (GGA-PBE) for a relaxed structure of CsRb2PtI.

Output
- Formation energy without anion corrections: -539 meV per atom

abc: 6.373 6.373 6.590
angles: 90.00 90.00 90.00
Fractional coordinates of all 5 atoms:
1 Rb 0.500 0.000 0.000
2 Rb 0.000 0.500 0.000
3 I 0.500 0.500 0.500
4 Cs 0.000 0.000 0.500
5 Pt 0.000 0.000 0.000

Density functional theory data (GGA-PBE) for a relaxed structure of Pr3Ge13Pt4.

Output
- Energy relative to the elements: -535 meV per atom

abc: 9.239 9.239 9.234
angles: 89.75 89.75 89.75
Fractional coordinates of all 40 atoms:
1 Ge 0.000 0.387 0.006
2 Ge 0.343 0.498 0.920
3 Ge 0.377 0.999 0.976
4 Ge 0.877 0.220 0.753
5 Ge 0.252 0.500 0.642
6 Ge 0.888 0.752 0.753
7 Ge 0.165 0.842 0.752
8 Ge 0.842 0.165 0.252
9 Ge 0.498 0.343 0.420
10 Ge 0.173 0.145 0.756
11 Ge 0.720 0.499 0.631
12 Ge 0.145 0.173 0.256
13 Ge 0.499 0.720 0.131
14 Ge 0.496 0.996 0.250
15 Ge 0.501 0.645 0.427
16 Ge 0.998 0.665 0.096
17 Ge 0.500 0.252 0.142
18 Ge 0.220 0.877 0.253
19 Ge 0.999 0.377 0.476
20 Ge 0.001 0.674 0.398
21 Ge 0.665 0.998 0.596
22 Ge 0.387 0.000 0.506
23 Ge 0.645 0.501 0.927
24 Ge 0.674 0.001 0.898
25 Ge 0.752 0.888 0.253
26 Ge 0.996 0.496 0.750
27 Pt 0.748 0.248 0.502
28 Pt 0.248 0.748 0.002
29 Pt 0.747 0.254 0.005
30 Pt 0.254 0.747 0.505
31 Pt 0.750 0.753 0.001
32 Pt 0.753 0.750 0.501
33 Pt 0.247 0.250 0.008
34 Pt 0.250 0.247 0.508
35 Pr 0.251 0.500 0.254
36 Pr 0.500 0.751 0.754
37 Pr 0.000 0.000 0.505
38 Pr 0.500 0.251 0.754
39 Pr 0.000 0.000 0.005
40 Pr 0.751 0.500 0.254

Density functional theory data (GGA-PBE) for a relaxed structure of ZrTa2Hg.

Output
- Energy relative to the elements: 227 meV per atom

abc: 5.881 5.881 5.881
angles: 149.12 128.97 60.85
Fractional coordinates of all 4 atoms:
1 Ta 0.496 0.496 0.000
2 Ta 0.004 0.004 0.000
3 Hg 0.250 0.750 0.500
4 Zr 0.750 0.250 0.500